Record 1
Tl2Cu3AgCl8 after structural relaxation, computed with PBE.

Cell and atoms, written as POSCAR:
```
Tl2Cu3AgCl8
1.0
7.538 0.000 0.000
3.769 6.528 0.000
3.769 2.176 7.815
Cu Cl Tl Ag
3 8 2 1
direct
0.476 0.476 0.037
0.476 0.011 0.037
0.011 0.476 0.037
0.759 0.759 0.164
0.231 0.231 0.864
0.674 0.231 0.864
0.319 0.759 0.164
0.231 0.674 0.864
0.255 0.255 0.234
0.795 0.795 0.616
0.759 0.319 0.164
0.121 0.121 0.637
0.488 0.488 0.536
0.899 0.899 0.303
```

Results
- energy relative to the elements, uncorrected (eV per formula unit) = -8.1
- magnetic moment (μB/atom) = 0.15
- ρ (g/cm3) = 4.28
- Fermi-level density of states (states/eV/cell) = 6.2


Record 2
MgFe2Hg after structural relaxation, computed with PBE.

Cell and atoms, written as POSCAR:
```
MgFe2Hg
1.0
-1.000 4.166 2.967
-0.585 1.630 4.915
3.572 2.010 1.855
Mg Hg Fe
1 1 2
direct
0.260 0.260 0.240
0.488 0.488 0.513
0.027 0.027 0.973
0.725 0.725 0.774
```

Results
- magnetic moment (μB/atom) = 1.25
- ρ (g/cm3) = 8.77
- formation energy (eV/atom) = 0.234
- Fermi-level density of states (states/eV/cell) = 2.6


Record 3
SrBe3C after structural relaxation, computed with PBE.

Cell and atoms, written as POSCAR:
```
SrBe3C
1.0
-1.019 1.512 -3.548
-3.554 -1.793 0.256
-1.498 3.226 1.805
Sr Be C
1 3 1
direct
0.500 0.500 0.500
0.500 0.000 0.000
0.000 0.000 0.500
0.000 0.500 0.000
0.000 0.000 0.000
```

Results
- magnetic moment (μB/atom) = 0.00
- offset from the most stable computed form (eV per atom) = 0.0000
- ρ (g/cm3) = 3.31
- formation energy (eV/atom) = 0.971
- Fermi-level density of states (states/eV/cell) = 3.6